The following is a DFT calculation (PBE) of a relaxed structure of Gd2TlNiAg.

a b c (Å): 3.6988 4.2612 14.7053
angles (deg): 90.00 90.00 90.00
Closest atoms and distances in Å follow each position.
Fractional positions:
Gd: 0.0000 0.0000 0.0000  4 Ni 2.98, 2 Ag 3.08
Gd: 0.0000 0.0000 0.2649  4 Ag 2.99, 2 Ni 3.12
Gd: 0.0000 0.5000 0.5000  4 Ni 2.98, 2 Ag 3.08
Gd: 0.0000 0.5000 0.7649  4 Ag 2.99, 2 Ni 3.12
Tl: 0.5000 0.0000 0.6263  1 Ni 2.81, 1 Ag 3.03
Tl: 0.5000 0.5000 0.1263  1 Ni 2.81, 1 Ag 3.03
Ni: 0.5000 0.0000 0.4353  2 Ag 2.61, 1 Tl 2.81
Ni: 0.5000 0.5000 0.9353  2 Ag 2.61, 1 Tl 2.81
Ag: 0.5000 0.0000 0.8322  2 Ni 2.61
Ag: 0.5000 0.5000 0.3322  2 Ni 2.61

Computed properties:
- Spin magnetization: 0.00 μB per formula unit
- Uncorrected energy: -4.360 eV per atom